Density functional theory data (PBE-GGA) for Ba3BeW after structural relaxation.

Computed properties:
Fermi-level density of states in states/eV/f.u.: 5.4
Energy relative to the elements in eV per atom: 1.302
Excess energy over the best structure of this formula in the dataset in meV/atom: 0.0
Mass density in g/cm³: 4.7
Symmetry: Pm-3m, No. 221
E in eV per atom: -3.1871

Unit cell a=5.982 b=5.982 c=5.982 alpha=90.00 beta=90.00 gamma=90.00
Element x y z (fractional)
Be 0.500 0.500 0.500
Ba 0.000 0.500 0.000
Ba 0.000 0.000 0.500
Ba 0.500 0.000 0.000
W 0.000 0.000 0.000

=====

Density functional theory data (PBE-GGA) for TmMgInPb after structural relaxation.

Computed properties:
Fermi-level density of states in states/eV/f.u.: 3.7
Energy relative to the elements in eV per atom: -0.177
Excess energy over the best structure of this formula in the dataset in meV/atom: 137.7
Mass density in g/cm³: 8.2
Symmetry: F-43m, No. 216
E in eV per atom: -3.3051

Unit cell a=5.289 b=5.289 c=5.289 alpha=60.00 beta=60.00 gamma=60.00
Element x y z (fractional)
Pb 0.250 0.250 0.250
Mg 0.500 0.500 0.500
Tm 0.000 0.000 0.000
In 0.750 0.750 0.750

=====

Density functional theory data (PBE-GGA) for Pm2HoEr3Se6 after structural relaxation.

Computed properties:
E_form (uncorrected) in eV/atom: -1.748
Fermi-level density of states in states/eV/f.u.: 5.4
Mass density in g/cm³: 8.2
Symmetry: C2/m, No. 12
E in eV per atom: -5.8039

Unit cell a=4.065 b=8.258 c=9.175 alpha=103.80 beta=102.80 gamma=90.00
Element x y z (fractional)
Pm 0.831 0.663 0.663
Pm 0.169 0.337 0.337
Ho 0.500 0.000 0.000
Er 0.500 0.500 0.000
Er 0.830 0.167 0.660
Er 0.170 0.833 0.340
Se 0.335 0.927 0.669
Se 0.662 0.592 0.325
Se 0.665 0.073 0.331
Se 0.996 0.249 0.992
Se 0.004 0.751 0.008
Se 0.338 0.408 0.675

=====

Density functional theory data (PBE-GGA) for Li3Mg2Tl3 after structural relaxation.

Computed properties:
Fermi-level density of states in states/eV/f.u.: 2.4
Energy relative to the elements in eV per atom: -0.162
Excess energy over the best structure of this formula in the dataset in meV/atom: 0.0
Mass density in g/cm³: 6.5
Symmetry: C2/m, No. 12
E in eV per atom: -2.1661

Unit cell a=3.763 b=4.825 c=10.133 alpha=106.04 beta=100.70 gamma=90.00
Element x y z (fractional)
Li 0.879 0.378 0.759
Li 0.121 0.622 0.241
Li 0.000 0.000 0.000
Mg 0.745 0.746 0.491
Mg 0.255 0.254 0.509
Tl 0.371 0.870 0.742
Tl 0.500 0.500 0.000
Tl 0.629 0.130 0.258

=====

Density functional theory data (PBE-GGA) for CuSnSeBr2 after structural relaxation.

Computed properties:
E_form (uncorrected) in eV/atom: -0.125
Fermi-level density of states in states/eV/f.u.: 1.6
Excess energy over the best structure of this formula in the dataset in meV/atom: 0.0
Mass density in g/cm³: 5.6
Symmetry: P4/mmm, No. 123
E in eV per atom: -3.1104

Unit cell a=4.927 b=4.927 c=5.116 alpha=90.00 beta=90.00 gamma=90.00
Element x y z (fractional)
Cu 0.000 0.000 0.000
Se 0.000 0.000 0.500
Sn 0.500 0.500 0.500
Br 0.000 0.500 0.000
Br 0.500 0.000 0.000

=====

Density functional theory data (PBE-GGA) for ErS2 after structural relaxation.

Computed properties:
E_form (uncorrected) in eV/atom: -1.700
Fermi-level density of states in states/eV/f.u.: 0.0
Mass density in g/cm³: 6.5
Symmetry: P2_1/c, No. 14
E in eV per atom: -5.9730

Unit cell a=3.866 b=7.791 c=7.851 alpha=89.83 beta=90.00 gamma=90.00
Element x y z (fractional)
Er 0.286 0.629 0.725
Er 0.786 0.871 0.275
Er 0.714 0.371 0.275
Er 0.214 0.129 0.725
S 0.261 0.626 0.369
S 0.761 0.874 0.631
S 0.739 0.374 0.631
S 0.239 0.126 0.369
S 0.835 0.612 0.997
S 0.335 0.888 0.003
S 0.165 0.388 0.003
S 0.665 0.112 0.997

=====

Density functional theory data (PBE-GGA) for AlHg after structural relaxation.

Computed properties:
Fermi-level density of states in states/eV/f.u.: 0.7
Energy relative to the elements in eV per atom: 0.169
Mass density in g/cm³: 8.4
Symmetry: P6_3/mmc, No. 194
E in eV per atom: -1.8529

Unit cell a=8.616 b=8.616 c=4.186 alpha=90.00 beta=90.00 gamma=120.00
Element x y z (fractional)
Al 0.441 0.882 0.250
Al 0.559 0.441 0.750
Al 0.118 0.559 0.250
Al 0.559 0.118 0.750
Al 0.441 0.559 0.250
Al 0.882 0.441 0.750
Hg 0.835 0.670 0.250
Hg 0.165 0.835 0.750
Hg 0.330 0.165 0.250
Hg 0.165 0.330 0.750
Hg 0.835 0.165 0.250
Hg 0.670 0.835 0.750

=====

Density functional theory data (PBE-GGA) for CaMnHg after structural relaxation.

Computed properties:
Fermi-level density of states in states/eV/f.u.: 2.4
Energy relative to the elements in eV per atom: 0.041
Mass density in g/cm³: 6.7
Symmetry: P-6m2, No. 187
E in eV per atom: -3.7828

Unit cell a=4.766 b=4.766 c=3.715 alpha=90.00 beta=90.00 gamma=120.00
Element x y z (fractional)
Ca 0.000 0.000 0.000
Mn 0.333 0.667 0.500
Hg 0.667 0.333 0.500

=====

Density functional theory data (PBE-GGA) for Cs2MgTaI6 after structural relaxation.

Computed properties:
E_form (uncorrected) in eV/atom: -0.782
Fermi-level density of states in states/eV/f.u.: 5.8
Mass density in g/cm³: 5.0
Symmetry: I4/mmm, No. 139
E in eV per atom: -3.2273

Unit cell a=8.348 b=8.348 c=8.340 alpha=59.97 beta=59.97 gamma=90.00
Element x y z (fractional)
Cs 0.750 0.250 0.500
Cs 0.250 0.750 0.500
I 0.247 0.247 0.507
I 0.753 0.753 0.493
I 0.246 0.246 0.000
I 0.754 0.754 0.000
I 0.754 0.246 0.000
I 0.246 0.754 0.000
Mg 0.500 0.500 0.000
Ta 0.000 0.000 0.000

=====

Density functional theory data (PBE-GGA) for CrInAu14 after structural relaxation.

Computed properties:
Fermi-level density of states in states/eV/f.u.: 6.1
Energy relative to the elements in eV per atom: 0.004
Mass density in g/cm³: 16.7
Symmetry: Amm2, No. 38
E in eV per atom: -3.6359

Unit cell a=5.877 b=5.877 c=9.557 alpha=90.00 beta=90.00 gamma=118.31
Element x y z (fractional)
Cr 0.046 0.954 0.500
In 0.548 0.452 0.500
Au 0.204 0.796 0.000
Au 0.703 0.297 0.000
Au 0.050 0.456 0.500
Au 0.204 0.294 0.000
Au 0.544 0.950 0.500
Au 0.706 0.796 0.000
Au 0.370 0.122 0.747
Au 0.370 0.122 0.253
Au 0.878 0.630 0.747
Au 0.878 0.630 0.253
Au 0.375 0.625 0.752
Au 0.375 0.625 0.248
Au 0.875 0.125 0.747
Au 0.875 0.125 0.253

=====

Density functional theory data (PBE-GGA) for Sc3TlH after structural relaxation.

Computed properties:
Fermi-level density of states in states/eV/f.u.: 5.5
Excess energy over the best structure of this formula in the dataset in meV/atom: 127.3
Mass density in g/cm³: 5.8
Symmetry: P2_1/c, No. 14
E in eV per atom: -5.1883

Unit cell a=10.632 b=7.869 c=6.170 alpha=90.00 beta=90.00 gamma=130.70
Element x y z (fractional)
Sc 0.758 0.020 0.031
Sc 0.242 0.980 0.969
Sc 0.742 0.980 0.531
Sc 0.258 0.020 0.469
Sc 0.353 0.717 0.651
Sc 0.647 0.283 0.349
Sc 0.147 0.283 0.151
Sc 0.853 0.717 0.849
Sc 0.020 0.546 0.252
Sc 0.980 0.454 0.748
Sc 0.480 0.454 0.752
Sc 0.520 0.546 0.248
Tl 0.394 0.797 0.170
Tl 0.606 0.203 0.830
Tl 0.106 0.203 0.670
Tl 0.894 0.797 0.330
H 0.512 0.671 0.539
H 0.488 0.329 0.461
H 0.988 0.329 0.039
H 0.012 0.671 0.961

=====

Density functional theory data (PBE-GGA) for HfMo3Os after structural relaxation.

Computed properties:
Fermi-level density of states in states/eV/f.u.: 6.1
Energy relative to the elements in eV per atom: 1.292
Excess energy over the best structure of this formula in the dataset in meV/atom: 0.0
Mass density in g/cm³: 10.3
Symmetry: Pm-3m, No. 221
E in eV per atom: -9.4428

Unit cell a=4.727 b=4.727 c=4.727 alpha=90.00 beta=90.00 gamma=90.00
Element x y z (fractional)
Hf 0.500 0.500 0.500
Mo 0.000 0.500 0.000
Mo 0.000 0.000 0.500
Mo 0.500 0.000 0.000
Os 0.000 0.000 0.000

=====

Going through the records in order, we get M_tot values of 0.00; 0.00; 0.01; 0.00; 0.00; 0.00; 0.00; 3.78; 3.00; 4.19; 0.00; 0.00 μB per formula unit.